P:
KYOs2 | PBE | optimized geometry

Cell and atoms, written as CIF:
```
data_KYOs2
_chemical_formula_sum 'K1 Y1 Os2'
_symmetry_space_group_name_H-M 'P 4/m m m'
_symmetry_Int_Tables_number 123
_symmetry_space_group_name_Hall '-P 4 2'
_cell_length_a 2.9249
_cell_length_b 2.9249
_cell_length_c 9.8296
_cell_angle_alpha 90.00
_cell_angle_beta 90.00
_cell_angle_gamma 90.00
loop_
_atom_site_label
_atom_site_type_symbol
_atom_site_fract_x
_atom_site_fract_y
_atom_site_fract_z
K1 K 0.0000 0.0000 0.0000
Y1 Y 0.0000 0.0000 0.5000
Os1 Os 0.5000 0.5000 0.2803
```

Values from the calculation:
- spin magnetization (μB per atom) = 0.1341
- volume (Å³/atom) = 21.0


Q:
KYOs2 | PBE | optimized geometry

Cell and atoms, written as CIF:
```
data_KYOs2
_chemical_formula_sum 'K4 Y4 Os8'
_symmetry_space_group_name_H-M 'F m -3 m'
_symmetry_Int_Tables_number 225
_symmetry_space_group_name_Hall '-F 4 2 3'
_cell_length_a 6.9372
_cell_length_b 6.9372
_cell_length_c 6.9372
_cell_angle_alpha 90.00
_cell_angle_beta 90.00
_cell_angle_gamma 90.00
loop_
_atom_site_label
_atom_site_type_symbol
_atom_site_fract_x
_atom_site_fract_y
_atom_site_fract_z
K1 K 0.0000 0.0000 0.0000
Y1 Y 0.0000 0.0000 0.5000
Os1 Os 0.2500 0.2500 0.2500
```

Values from the calculation:
- spin magnetization (μB per atom) = 0.0000
- volume (Å³/atom) = 20.9


Name the most stable of them. P.


P:
KYOs2 | PBE | optimized geometry

Cell and atoms, written as CIF:
```
data_KYOs2
_chemical_formula_sum 'K1 Y1 Os2'
_symmetry_space_group_name_H-M 'P m m m'
_symmetry_Int_Tables_number 47
_cell_length_a 3.1525
_cell_length_b 4.7615
_cell_length_c 5.0216
_cell_angle_alpha 90.00
_cell_angle_beta 90.00
_cell_angle_gamma 90.00
loop_
_symmetry_equiv_pos_as_xyz
'x,y,z'
'-x,-y,-z'
'-x,-y,z'
'x,y,-z'
'x,-y,-z'
'-x,y,z'
'-x,y,-z'
'x,-y,z'
loop_
_atom_site_label
_atom_site_type_symbol
_atom_site_fract_x
_atom_site_fract_y
_atom_site_fract_z
K1 K 0.0000 0.0000 0.0000
Y1 Y 0.5000 0.5000 0.0000
Os1 Os 0.0000 0.5000 0.5000
Os2 Os 0.5000 0.0000 0.5000
```

Values from the calculation:
- spin magnetization (μB per atom) = 0.0055
- volume (Å³/atom) = 18.8


Q:
KYOs2 | PBE | optimized geometry

Cell and atoms, written as CIF:
```
data_KYOs2
_chemical_formula_sum 'K2 Y2 Os4'
_symmetry_space_group_name_H-M 'I m m 2'
_symmetry_Int_Tables_number 44
_cell_length_a 4.0695
_cell_length_b 4.7544
_cell_length_c 12.4369
_cell_angle_alpha 90.00
_cell_angle_beta 90.00
_cell_angle_gamma 90.00
loop_
_symmetry_equiv_pos_as_xyz
'x,y,z'
'-x,-y,z'
'-x,y,z'
'x,-y,z'
'x+1/2,y+1/2,z+1/2'
'-x+1/2,-y+1/2,z+1/2'
'-x+1/2,y+1/2,z+1/2'
'x+1/2,-y+1/2,z+1/2'
loop_
_atom_site_label
_atom_site_type_symbol
_atom_site_fract_x
_atom_site_fract_y
_atom_site_fract_z
K1 K 0.0000 0.0000 0.0000
Y1 Y 0.0000 0.5000 0.2371
Os1 Os 0.0000 0.0000 0.3609
Os2 Os 0.0000 0.5000 0.7686
```

Values from the calculation:
- spin magnetization (μB per atom) = 0.0000
- volume (Å³/atom) = 30.1


R:
KYOs2 | PBE | optimized geometry

Cell and atoms, written as CIF:
```
data_KYOs2
_chemical_formula_sum 'K4 Y4 Os8'
_symmetry_space_group_name_H-M 'I -4 2 d'
_symmetry_Int_Tables_number 122
_symmetry_space_group_name_Hall 'I -4 2bw'
_cell_length_a 4.5681
_cell_length_b 4.5681
_cell_length_c 20.1227
_cell_angle_alpha 90.00
_cell_angle_beta 90.00
_cell_angle_gamma 90.00
loop_
_atom_site_label
_atom_site_type_symbol
_atom_site_fract_x
_atom_site_fract_y
_atom_site_fract_z
K1 K 0.0000 0.0000 0.0000
Y1 Y 0.0000 0.0000 0.5000
Os1 Os 0.1063 0.2500 0.6250
```

Values from the calculation:
- spin magnetization (μB per atom) = 0.0000
- volume (Å³/atom) = 26.2


S:
KYOs2 | PBE | optimized geometry

Cell and atoms, written as CIF:
```
data_KYOs2
_chemical_formula_sum 'K1 Y1 Os2'
_symmetry_space_group_name_H-M 'P m m m'
_symmetry_Int_Tables_number 47
_cell_length_a 2.9978
_cell_length_b 4.7009
_cell_length_c 7.3736
_cell_angle_alpha 90.00
_cell_angle_beta 90.00
_cell_angle_gamma 90.00
loop_
_symmetry_equiv_pos_as_xyz
'x,y,z'
'-x,-y,-z'
'-x,-y,z'
'x,y,-z'
'x,-y,-z'
'-x,y,z'
'-x,y,-z'
'x,-y,z'
loop_
_atom_site_label
_atom_site_type_symbol
_atom_site_fract_x
_atom_site_fract_y
_atom_site_fract_z
K1 K 0.0000 0.0000 0.0000
Y1 Y 0.0000 0.0000 0.5000
Os1 Os 0.5000 0.5000 0.3446
```

Values from the calculation:
- spin magnetization (μB per atom) = 0.1484
- volume (Å³/atom) = 26.0


Name the most stable of them. Q.


P:
KYOs2 | PBE | optimized geometry

Cell and atoms, written as CIF:
```
data_KYOs2
_chemical_formula_sum 'K2 Y2 Os4'
_symmetry_space_group_name_H-M 'I 4/m m m'
_symmetry_Int_Tables_number 139
_symmetry_space_group_name_Hall '-I 4 2'
_cell_length_a 4.0340
_cell_length_b 4.0340
_cell_length_c 9.5897
_cell_angle_alpha 90.00
_cell_angle_beta 90.00
_cell_angle_gamma 90.00
loop_
_atom_site_label
_atom_site_type_symbol
_atom_site_fract_x
_atom_site_fract_y
_atom_site_fract_z
K1 K 0.0000 0.0000 0.0000
Y1 Y 0.0000 0.0000 0.5000
Os1 Os 0.0000 0.5000 0.2500
```

Values from the calculation:
- spin magnetization (μB per atom) = 0.0818
- volume (Å³/atom) = 19.5


Q:
KYOs2 | PBE | optimized geometry

Cell and atoms, written as CIF:
```
data_KYOs2
_chemical_formula_sum 'K3 Y3 Os6'
_symmetry_space_group_name_H-M 'R 3 m'
_symmetry_Int_Tables_number 160
_symmetry_space_group_name_Hall 'R 3 -2"'
_cell_length_a 2.9795
_cell_length_b 2.9795
_cell_length_c 33.5236
_cell_angle_alpha 90.00
_cell_angle_beta 90.00
_cell_angle_gamma 120.00
loop_
_atom_site_label
_atom_site_type_symbol
_atom_site_fract_x
_atom_site_fract_y
_atom_site_fract_z
K1 K 0.0000 0.0000 0.0000
Y1 Y 0.0000 0.0000 0.2226
Os1 Os 0.0000 0.0000 0.4796
Os2 Os 0.0000 0.0000 0.7547
```

Values from the calculation:
- spin magnetization (μB per atom) = 0.0874
- volume (Å³/atom) = 21.5


Name the most stable of them. Q.


P:
K3YOs | PBE | optimized geometry

Cell and atoms, written as CIF:
```
data_K3YOs
_chemical_formula_sum 'K3 Y1 Os1'
_symmetry_space_group_name_H-M 'P m -3 m'
_symmetry_Int_Tables_number 221
_symmetry_space_group_name_Hall '-P 4 2 3'
_cell_length_a 6.4933
_cell_length_b 6.4933
_cell_length_c 6.4933
_cell_angle_alpha 90.00
_cell_angle_beta 90.00
_cell_angle_gamma 90.00
loop_
_atom_site_label
_atom_site_type_symbol
_atom_site_fract_x
_atom_site_fract_y
_atom_site_fract_z
K1 K 0.0000 0.0000 0.5000
Y1 Y 0.0000 0.0000 0.0000
Os1 Os 0.5000 0.5000 0.5000
```

Values from the calculation:
- spin magnetization (μB per atom) = 0.0000
- volume (Å³/atom) = 54.8


Q:
K3YOs | PBE | optimized geometry

Cell and atoms, written as CIF:
```
data_K3YOs
_chemical_formula_sum 'K3 Y1 Os1'
_symmetry_space_group_name_H-M 'P m -3 m'
_symmetry_Int_Tables_number 221
_symmetry_space_group_name_Hall '-P 4 2 3'
_cell_length_a 6.1007
_cell_length_b 6.1007
_cell_length_c 6.1007
_cell_angle_alpha 90.00
_cell_angle_beta 90.00
_cell_angle_gamma 90.00
loop_
_atom_site_label
_atom_site_type_symbol
_atom_site_fract_x
_atom_site_fract_y
_atom_site_fract_z
K1 K 0.0000 0.0000 0.5000
Y1 Y 0.5000 0.5000 0.5000
Os1 Os 0.0000 0.0000 0.0000
```

Values from the calculation:
- spin magnetization (μB per atom) = 0.0001
- volume (Å³/atom) = 45.4


Name the most stable of them. Q.


P:
KZnOs | PBE | optimized geometry

Cell and atoms, written as CIF:
```
data_KZnOs
_chemical_formula_sum 'K1 Zn1 Os1'
_symmetry_space_group_name_H-M 'P 3 m 1'
_symmetry_Int_Tables_number 156
_cell_length_a 2.8129
_cell_length_b 2.8129
_cell_length_c 8.0397
_cell_angle_alpha 90.00
_cell_angle_beta 90.00
_cell_angle_gamma 120.00
loop_
_symmetry_equiv_pos_as_xyz
'x,y,z'
'-y,x-y,z'
'-x+y,-x,z'
'-y,-x,z'
'-x+y,y,z'
'x,x-y,z'
loop_
_atom_site_label
_atom_site_type_symbol
_atom_site_fract_x
_atom_site_fract_y
_atom_site_fract_z
K1 K 0.0000 0.0000 0.0000
Zn1 Zn 0.3333 0.6667 0.6242
Os1 Os 0.6667 0.3333 0.3533
```

Values from the calculation:
- spin magnetization (μB per atom) = 0.0003
- volume (Å³/atom) = 18.4


Q:
KZnOs | PBE | optimized geometry

Cell and atoms, written as CIF:
```
data_KZnOs
_chemical_formula_sum 'K2 Zn2 Os2'
_symmetry_space_group_name_H-M 'I 4 m m'
_symmetry_Int_Tables_number 107
_symmetry_space_group_name_Hall 'I 4 -2'
_cell_length_a 2.7460
_cell_length_b 2.7460
_cell_length_c 15.3445
_cell_angle_alpha 90.00
_cell_angle_beta 90.00
_cell_angle_gamma 90.00
loop_
_atom_site_label
_atom_site_type_symbol
_atom_site_fract_x
_atom_site_fract_y
_atom_site_fract_z
K1 K 0.0000 0.0000 0.0000
Zn1 Zn 0.0000 0.0000 0.6933
Os1 Os 0.0000 0.0000 0.3197
```

Values from the calculation:
- spin magnetization (μB per atom) = 0.0046
- volume (Å³/atom) = 19.3


Name the most stable of them. P.


P:
KZnOs | PBE | optimized geometry

Cell and atoms, written as CIF:
```
data_KZnOs
_chemical_formula_sum 'K2 Zn2 Os2'
_symmetry_space_group_name_H-M 'I m m 2'
_symmetry_Int_Tables_number 44
_cell_length_a 2.6594
_cell_length_b 4.2747
_cell_length_c 11.8524
_cell_angle_alpha 90.00
_cell_angle_beta 90.00
_cell_angle_gamma 90.00
loop_
_symmetry_equiv_pos_as_xyz
'x,y,z'
'-x,-y,z'
'-x,y,z'
'x,-y,z'
'x+1/2,y+1/2,z+1/2'
'-x+1/2,-y+1/2,z+1/2'
'-x+1/2,y+1/2,z+1/2'
'x+1/2,-y+1/2,z+1/2'
loop_
_atom_site_label
_atom_site_type_symbol
_atom_site_fract_x
_atom_site_fract_y
_atom_site_fract_z
K1 K 0.0000 0.0000 0.0000
Zn1 Zn 0.0000 0.0000 0.2709
Os1 Os 0.0000 0.0000 0.7203
```

Values from the calculation:
- spin magnetization (μB per atom) = 0.0002
- volume (Å³/atom) = 22.5


Q:
KZnOs | PBE | optimized geometry

Cell and atoms, written as CIF:
```
data_KZnOs
_chemical_formula_sum 'K4 Zn4 Os4'
_symmetry_space_group_name_H-M 'F m m 2'
_symmetry_Int_Tables_number 42
_symmetry_space_group_name_Hall 'F 2 -2'
_cell_length_a 2.9399
_cell_length_b 4.6656
_cell_length_c 16.1132
_cell_angle_alpha 90.00
_cell_angle_beta 90.00
_cell_angle_gamma 90.00
loop_
_atom_site_label
_atom_site_type_symbol
_atom_site_fract_x
_atom_site_fract_y
_atom_site_fract_z
K1 K 0.0000 0.0000 0.0000
Zn1 Zn 0.0000 0.0000 0.3117
Os1 Os 0.0000 0.0000 0.6746
```

Values from the calculation:
- spin magnetization (μB per atom) = 0.0000
- volume (Å³/atom) = 18.4


Name the most stable of them. P.